[1]
## La2SiSnPd6 (PBE-GGA)

Data for a relaxed structure of La2SiSnPd6.

## Properties
Total moment = 0.000 μB/cell
D(E_F) = 4.881 states/eV/f.u.
Electronic total energy = -5.75 eV/atom

a = 7.0406 Å, b = 6.6918 Å, c = 7.2232 Å
α = 53.88°, β = 56.67°, γ = 85.27°
Last column: nearest neighbours and their distance in Å.
Fractional coordinates of all 10 atoms:
La  0.8002  0.2269  0.5319  5 Pd 2.95-3.21
La  0.1998  0.7731  0.4681  5 Pd 2.95-3.21
Si  0.0000  0.0000  0.0000  6 Pd 2.38-2.43
Sn  0.5000  0.5000  0.0000  6 Pd 2.62-2.70
Pd  0.3575  0.3348  0.5102  1 Si 2.38
Pd  0.8018  0.7363  0.9898  1 Si 2.40
Pd  0.2686  0.7961  0.8315  1 Si 2.43, 1 Sn 2.62
Pd  0.7314  0.2039  0.1685  1 Si 2.43, 1 Sn 2.62
Pd  0.1982  0.2637  0.0102  1 Si 2.40
Pd  0.6425  0.6652  0.4898  1 Si 2.38

---

[2]
## La2SiSn3Pd4 (PBE-GGA)

Data for a relaxed structure of La2SiSn3Pd4.

## Properties
Total moment = 0.000 μB/cell
D(E_F) = 5.930 states/eV/f.u.
Electronic total energy = -5.60 eV/atom

a = 4.5798 Å, b = 4.5798 Å, c = 10.5176 Å
α = 90.00°, β = 90.00°, γ = 90.00°
Last column: nearest neighbours and their distance in Å.
Fractional coordinates of all 10 atoms:
La  0.5000  0.0000  0.2564  6 Sn 3.44-3.49, 2 Si 3.44, 9 Pd 3.50-3.79
La  0.0000  0.5000  0.7436  2 Si 3.44, 6 Sn 3.44-3.49, 9 Pd 3.50-3.79
Si  0.5000  0.5000  0.5000  4 Pd 2.60
Sn  0.0000  0.0000  0.5000  4 Pd 2.60
Sn  0.5000  0.0000  0.8680  5 Pd 2.65-2.68
Sn  0.0000  0.5000  0.1320  5 Pd 2.65-2.68
Pd  0.5000  0.5000  0.0000  4 Sn 2.68
Pd  0.0000  0.0000  0.0000  4 Sn 2.68
Pd  0.5000  0.0000  0.6164  3 Sn 2.60-2.65, 2 Si 2.60
Pd  0.0000  0.5000  0.3836  3 Sn 2.60-2.65, 2 Si 2.60

---

[3]
## La4Si3SnPd12 (PBE-GGA)

Data for a relaxed structure of La4Si3SnPd12.

## Properties
Total moment = 0.000 μB/cell
D(E_F) = 9.298 states/eV/f.u.
Electronic total energy = -5.71 eV/atom

a = 8.2297 Å, b = 8.2297 Å, c = 8.2297 Å
α = 109.47°, β = 109.47°, γ = 109.47°
Last column: nearest neighbours and their distance in Å.
Fractional coordinates of all 20 atoms:
La  0.5000  0.5000  0.5000  12 Pd 3.36
La  0.0000  0.0000  0.5000  12 Pd 3.36
La  0.5000  0.0000  0.0000  12 Pd 3.36
La  0.0000  0.5000  0.0000  12 Pd 3.36
Si  0.5000  0.0000  0.5000  6 Pd 2.22-2.38
Si  0.5000  0.5000  0.0000  6 Pd 2.22-2.38
Si  0.0000  0.5000  0.5000  6 Pd 2.22-2.38
Sn  0.0000  0.0000  0.0000  6 Pd 2.53
Pd  0.2500  0.5000  0.7500  2 Si 2.38
Pd  0.7341  0.0000  0.7341  1 Si 2.22
Pd  0.2659  0.0000  0.2659  1 Si 2.22
Pd  0.7500  0.5000  0.2500  2 Si 2.38
Pd  0.7341  0.7341  0.0000  1 Si 2.22
Pd  0.2659  0.2659  0.0000  1 Si 2.22
Pd  0.7500  0.2500  0.5000  2 Si 2.38
Pd  0.2500  0.7500  0.5000  2 Si 2.38
Pd  0.5000  0.2500  0.7500  2 Si 2.38
Pd  0.0000  0.7341  0.7341  1 Si 2.22
Pd  0.5000  0.7500  0.2500  2 Si 2.38
Pd  0.0000  0.2659  0.2659  1 Si 2.22